No. 1
Density functional theory data (GGA-PBEsol) for a relaxed CrInP2 crystal.

Properties
For the energy relative to the elements, the calculation gives 0.620 eV/atom. For the uncorrected energy, the calculation gives -5.58 eV per atom.

Cell: 6.445 6.445 6.445 Å, 90.00 90.00 90.00°
Space group F-43m (No. 216)
Inequivalent atoms, fractional coordinates:
Cr (0.000, 0.000, 0.000)
In (0.250, 0.250, 0.750)
P (0.000, 0.000, 0.500)
P (0.250, 0.250, 0.250)

***

No. 2
Density functional theory data (GGA-PBEsol) for a relaxed CrInP2 crystal.

Properties
For the energy relative to the elements, the calculation gives -0.082 eV/atom. For the uncorrected energy, the calculation gives -6.28 eV per atom.

Cell: 7.759 3.031 6.008 Å, 90.00 108.34 90.00°
Space group Cm (No. 8)
Inequivalent atoms, fractional coordinates:
Cr (0.000, 0.000, 0.000)
In (0.141, 0.500, 0.410)
P (0.296, 0.000, 0.030)
P (0.451, 0.000, 0.708)

***

No. 3
Density functional theory data (GGA-PBEsol) for a relaxed Cr2InPb crystal.

Properties
For the energy relative to the elements, the calculation gives 0.664 eV/atom. For the uncorrected energy, the calculation gives -6.20 eV per atom.

Cell: 3.969 3.969 9.614 Å, 90.00 90.00 90.00°
Space group I-4m2 (No. 119)
Inequivalent atoms, fractional coordinates:
Cr (0.000, 0.000, 0.000)
Cr (0.000, 0.500, 0.250)
In (0.000, 0.000, 0.500)
Pb (0.000, 0.500, 0.750)

***

No. 4
Density functional theory data (GGA-PBEsol) for a relaxed Cr2InPb crystal.

Properties
For the energy relative to the elements, the calculation gives 0.667 eV/atom. For the uncorrected energy, the calculation gives -6.20 eV per atom.

Cell: 10.516 3.269 4.658 Å, 90.00 107.18 90.00°
Space group Cm (No. 8)
Inequivalent atoms, fractional coordinates:
Cr (0.000, 0.000, 0.000)
Cr (0.245, 0.000, 0.605)
In (0.241, 0.500, 0.097)
Pb (0.499, 0.000, 0.499)

***

No. 5
Density functional theory data (GGA-PBEsol) for a relaxed CrInPb crystal.

Properties
For the energy relative to the elements, the calculation gives 0.701 eV/atom. For the uncorrected energy, the calculation gives -5.04 eV per atom.

Cell: 6.803 6.803 6.803 Å, 90.00 90.00 90.00°
Space group F-43m (No. 216)
Inequivalent atoms, fractional coordinates:
Cr (0.000, 0.000, 0.000)
In (0.250, 0.250, 0.750)
Pb (0.000, 0.000, 0.500)

***

No. 6
Density functional theory data (GGA-PBEsol) for a relaxed CrIn2Pb2 crystal.

Properties
For the energy relative to the elements, the calculation gives 0.536 eV/atom. For the uncorrected energy, the calculation gives -4.31 eV per atom.

Cell: 3.952 3.952 17.399 Å, 90.00 90.00 90.00°
Space group I4/mmm (No. 139)
Inequivalent atoms, fractional coordinates:
Cr (0.000, 0.000, 0.000)
In (0.000, 0.500, 0.250)
Pb (0.000, 0.000, 0.410)

***

No. 7
Density functional theory data (GGA-PBEsol) for a relaxed Cr2InPb crystal.

Properties
For the energy relative to the elements, the calculation gives 0.636 eV/atom. For the uncorrected energy, the calculation gives -6.23 eV per atom.

Cell: 3.122 3.829 6.215 Å, 90.00 90.00 90.00°
Space group Pmmm (No. 47)
Inequivalent atoms, fractional coordinates:
Cr (0.000, 0.000, 0.241)
In (0.500, 0.500, 0.000)
Pb (0.500, 0.500, 0.500)

***

No. 8
Density functional theory data (GGA-PBEsol) for a relaxed CrInPd3 crystal.

Properties
For the energy relative to the elements, the calculation gives 1.019 eV/atom. For the uncorrected energy, the calculation gives -5.20 eV per atom.

Cell: 4.819 4.819 4.819 Å, 90.00 90.00 90.00°
Space group Pm-3m (No. 221)
Inequivalent atoms, fractional coordinates:
Cr (0.000, 0.000, 0.000)
In (0.500, 0.500, 0.500)
Pd (0.000, 0.500, 0.500)